Record 1
Entry from Alexandria via LeMat-Bulk: an optimized crystal structure of SrLi2Ca2Tl2 (GGA-PBE).

Summary:
Symmetry ... R-3m (166)
DFT total energy ... -2.2621 eV/atom

a = 10.528 Å, b = 10.528 Å, c = 10.528 Å
α = 27.36°, β = 27.36°, γ = 27.36°
Fractional positions:
Sr: 0.000 0.000 0.000
Li: 0.404 0.404 0.404
Li: 0.596 0.596 0.596
Ca: 0.129 0.129 0.129
Ca: 0.871 0.871 0.871
Tl: 0.255 0.255 0.255
Tl: 0.745 0.745 0.745


Record 2
Entry from Alexandria via LeMat-Bulk: an optimized crystal structure of SrLi2CaTl4 (GGA-PBE).

Summary:
Symmetry ... R-3m (166)
DFT total energy ... -2.4156 eV/atom

a = 9.307 Å, b = 9.307 Å, c = 9.307 Å
α = 33.21°, β = 33.21°, γ = 33.21°
Fractional positions:
Sr: 0.000 0.000 0.000
Li: 0.248 0.248 0.248
Li: 0.752 0.752 0.752
Ca: 0.500 0.500 0.500
Tl: 0.127 0.127 0.127
Tl: 0.379 0.379 0.379
Tl: 0.621 0.621 0.621
Tl: 0.873 0.873 0.873


Record 3
Entry from Alexandria via LeMat-Bulk: an optimized crystal structure of Sr2LiCaTl (GGA-PBE).

Summary:
Symmetry ... P4/mmm (123)
DFT total energy ... -1.9204 eV/atom

a = 6.070 Å, b = 6.070 Å, c = 5.100 Å
α = 90.00°, β = 90.00°, γ = 90.00°
Fractional positions:
Sr: 0.000 0.500 0.000
Sr: 0.500 0.000 0.000
Li: 0.000 0.000 0.000
Ca: 0.500 0.500 0.500
Tl: 0.000 0.000 0.500


Record 4
Entry from Alexandria via LeMat-Bulk: an optimized crystal structure of Sr2LiCaTl6 (GGA-PBE).

Summary:
Symmetry ... P-1 (2)
DFT total energy ... -2.3455 eV/atom

a = 6.659 Å, b = 6.869 Å, c = 8.293 Å
α = 92.68°, β = 113.25°, γ = 111.41°
Fractional positions:
Sr: 0.202 0.243 0.281
Sr: 0.798 0.757 0.719
Li: 0.000 0.500 0.500
Ca: 0.500 0.000 0.000
Tl: 0.122 0.720 0.155
Tl: 0.299 0.910 0.577
Tl: 0.339 0.382 0.777
Tl: 0.661 0.618 0.223
Tl: 0.701 0.090 0.423
Tl: 0.878 0.280 0.845


Record 5
Entry from Alexandria via LeMat-Bulk: an optimized crystal structure of Sr3LiCa3Zn2 (GGA-PBE).

Summary:
Symmetry ... P-62m (189)
DFT total energy ... -1.7297 eV/atom

a = 8.666 Å, b = 8.666 Å, c = 5.010 Å
α = 90.00°, β = 90.00°, γ = 120.00°
Fractional positions:
Sr: 0.000 0.732 0.000
Sr: 0.268 0.268 0.000
Sr: 0.732 0.000 0.000
Li: 0.000 0.000 0.500
Ca: 0.000 0.413 0.500
Ca: 0.413 0.000 0.500
Ca: 0.587 0.587 0.500
Zn: 0.333 0.667 0.000
Zn: 0.667 0.333 0.000


Record 6
Entry from Alexandria via LeMat-Bulk: an optimized crystal structure of SrLi2CaZn (GGA-PBE).

Summary:
Symmetry ... P4/mmm (123)
DFT total energy ... -1.6883 eV/atom

a = 5.326 Å, b = 5.326 Å, c = 5.617 Å
α = 90.00°, β = 90.00°, γ = 90.00°
Fractional positions:
Sr: 0.000 0.000 0.000
Li: 0.000 0.500 0.500
Li: 0.500 0.000 0.500
Ca: 0.500 0.500 0.000
Zn: 0.500 0.500 0.500


Record 7
Entry from Alexandria via LeMat-Bulk: an optimized crystal structure of SrLiCaZn (GGA-PBE).

Summary:
Symmetry ... Cm (8)
DFT total energy ... -1.7687 eV/atom

a = 4.560 Å, b = 4.560 Å, c = 7.862 Å
α = 106.86°, β = 106.86°, γ = 60.09°
Fractional positions:
Sr: 0.000 0.000 0.000
Li: 0.433 0.433 0.299
Ca: 0.186 0.186 0.555
Zn: 0.767 0.767 0.300


Record 8
Entry from Alexandria via LeMat-Bulk: an optimized crystal structure of SrLi2CaZn (GGA-PBE).

Summary:
Symmetry ... Imm2 (44)
DFT total energy ... -1.7998 eV/atom

a = 7.891 Å, b = 7.891 Å, c = 7.891 Å
α = 149.89°, β = 142.31°, γ = 48.98°
Fractional positions:
Sr: 0.000 0.000 0.000
Li: 0.616 0.616 0.000
Li: 0.795 0.295 0.500
Ca: 0.266 0.766 0.500
Zn: 0.426 0.426 0.000


Record 9
Entry from Alexandria via LeMat-Bulk: an optimized crystal structure of LiCaTa4 (GGA-PBE).

Summary:
Symmetry ... F-43m (216)
DFT total energy ... -7.9277 eV/atom

a = 5.673 Å, b = 5.673 Å, c = 5.673 Å
α = 60.00°, β = 60.00°, γ = 60.00°
Fractional positions:
Li: 0.000 0.000 0.000
Ca: 0.250 0.250 0.250
Ta: 0.131 0.623 0.623
Ta: 0.623 0.131 0.623
Ta: 0.623 0.623 0.131
Ta: 0.623 0.623 0.623


Record 10
Entry from Alexandria via LeMat-Bulk: an optimized crystal structure of LiCaTa2 (GGA-PBE).

Summary:
Symmetry ... P4mm (99)
DFT total energy ... -6.4049 eV/atom

a = 2.877 Å, b = 2.877 Å, c = 10.302 Å
α = 90.00°, β = 90.00°, γ = 90.00°
Fractional positions:
Li: 0.000 0.000 0.000
Ca: 0.500 0.500 0.723
Ta: 0.000 0.000 0.448
Ta: 0.500 0.500 0.233


Record 11
Entry from Alexandria via LeMat-Bulk: an optimized crystal structure of LiCaTa2 (GGA-PBE).

Summary:
Symmetry ... P4/mmm (123)
DFT total energy ... -6.2149 eV/atom

a = 3.914 Å, b = 3.914 Å, c = 5.464 Å
α = 90.00°, β = 90.00°, γ = 90.00°
Fractional positions:
Li: 0.000 0.000 0.000
Ca: 0.500 0.500 0.000
Ta: 0.000 0.500 0.500
Ta: 0.500 0.000 0.500


Record 12
Entry from Alexandria via LeMat-Bulk: an optimized crystal structure of Li3CaTa (GGA-PBE).

Summary:
Symmetry ... Pm-3m (221)
DFT total energy ... -2.8468 eV/atom

a = 5.163 Å, b = 5.163 Å, c = 5.163 Å
α = 90.00°, β = 90.00°, γ = 90.00°
Fractional positions:
Li: 0.000 0.000 0.500
Li: 0.000 0.500 0.000
Li: 0.500 0.000 0.000
Ca: 0.500 0.500 0.500
Ta: 0.000 0.000 0.000


DOS(E_F) / states/eV/atom: 1.20; 0.43; 0.83; 0.46; 1.02; 0.76; 1.04; 0.69; 1.36; 1.04; 1.22; 0.85
E_form / eV/atom: -0.23; -0.29; 0.01; -0.20; -0.01; 0.07; -0.05; -0.04; 0.63; 0.50; 0.69; 1.07